#one
Entry from the Alexandria database: a relaxed RbBa3Sn crystal (GGA-PBE).

Lattice parameters (Å, degrees): 6.4414 6.4414 6.4414 90.00 90.00 90.00
Closest atoms and distances in Å follow each position.
Fractional coordinates of all 5 atoms:
Ba: 0.5000 0.0000 0.0000  2 Rb 3.22
Ba: 0.0000 0.5000 0.0000  2 Rb 3.22
Ba: 0.0000 0.0000 0.5000  2 Rb 3.22
Sn: 0.5000 0.5000 0.5000  12 Ba 4.55
Rb: 0.0000 0.0000 0.0000  6 Ba 3.22

symmetry = No. 221
magnetization = 2.0 μB per cell
crystal system = cubic

---

#two
Entry from the Alexandria database: a relaxed RbBa3Sn crystal (GGA-PBE).

Lattice parameters (Å, degrees): 6.9379 6.9379 6.9379 90.00 90.00 90.00
Closest atoms and distances in Å follow each position.
Fractional coordinates of all 5 atoms:
Ba: 0.0000 0.0000 0.5000  2 Sn 3.47
Ba: 0.0000 0.5000 0.0000  2 Sn 3.47
Ba: 0.5000 0.0000 0.0000  2 Sn 3.47
Sn: 0.0000 0.0000 0.0000  6 Ba 3.47
Rb: 0.5000 0.5000 0.5000  12 Ba 4.91

symmetry = No. 221
magnetization = 0.0 μB per cell
crystal system = cubic

---

The least stable of them is #one.

---

#one
Entry from the Alexandria database: a relaxed RbBaSn4 crystal (GGA-PBE).

Lattice parameters (Å, degrees): 6.5501 6.5501 6.5501 60.00 60.00 60.00
Closest atoms and distances in Å follow each position.
Fractional coordinates of all 6 atoms:
Rb: 0.2500 0.2500 0.2500  12 Sn 3.84, 4 Ba 4.01
Ba: 0.0000 0.0000 0.0000  12 Sn 3.84, 4 Rb 4.01
Sn: 0.1229 0.6257 0.6257  6 Sn 3.26-3.29
Sn: 0.6257 0.6257 0.6257  6 Sn 3.26-3.29
Sn: 0.6257 0.6257 0.1229  6 Sn 3.26-3.29
Sn: 0.6257 0.1229 0.6257  6 Sn 3.26-3.29

symmetry = No. 216
magnetization = 0.0 μB per cell
crystal system = cubic

---

#two
Entry from the Alexandria database: a relaxed RbBaSn4 crystal (GGA-PBE).

Lattice parameters (Å, degrees): 4.9475 7.0636 7.0636 71.70 69.50 69.50
Closest atoms and distances in Å follow each position.
Fractional coordinates of all 6 atoms:
Ba: 0.4373 0.0627 0.0627  10 Sn 3.72-3.86
Rb: 0.5651 0.4349 0.4349  10 Sn 3.74-3.84
Sn: 0.1624 0.6541 0.0211  3 Sn 3.04-3.06
Sn: 0.8364 0.4809 0.8462  3 Sn 3.02-3.06
Sn: 0.8364 0.8462 0.4809  3 Sn 3.02-3.06
Sn: 0.1624 0.0211 0.6541  3 Sn 3.04-3.06

symmetry = No. 44
magnetization = 0.0 μB per cell
crystal system = orthorhombic

---

The least stable of them is #one.